TaCo2RhCl: relaxed, PBE.

abc: 4.6607 4.6607 4.7422
angles: 90.00 90.00 90.00
With the nearest neighbours (Å) after each atom.
Space group P4/mmm (No. 123)
Asymmetric unit:
Ta (0.0000, 0.0000, 0.0000) (multiplicity 1)  4 Co 2.33, 2 Rh 2.37
Co (0.0000, 0.5000, 0.0000) (multiplicity 2)  2 Ta 2.33
Rh (0.0000, 0.0000, 0.5000) (multiplicity 1)  2 Ta 2.37
Cl (0.5000, 0.5000, 0.5000) (multiplicity 1)  4 Rh 3.30, 8 Co 3.32

Calculated values
The value obtained for the theoretical density is 7.05 g/cm3. Its volume is 20.60 Å³/atom. The final energy comes out at -5.706 eV/atom.